DFT (GGA-PBE) results for crystalline NbNiPt at its relaxed geometry.

Values from the calculation:
ΔH_f (0 K) = -367 meV per atom
energy relative to the lowest polymorph listed for this composition = 54 meV/atom
M_tot = 0.00 μB per cell

CIF file:
```
data_NbNiPt
_space_group_name_H-M_alt 'P 4/n m m'
_space_group_IT_number 129
_cell_length_a 3.789
_cell_length_b 3.789
_cell_length_c 6.490
_cell_angle_alpha 90.00
_cell_angle_beta 90.00
_cell_angle_gamma 90.00
loop_
_space_group_symop_operation_xyz
'x,y,z'
'-x,-y,-z'
'-y+1/2,x,z'
'y+1/2,-x,-z'
'-x+1/2,-y+1/2,z'
'x+1/2,y+1/2,-z'
'y,-x+1/2,z'
'-y,x+1/2,-z'
'x+1/2,-y,-z'
'-x+1/2,y,z'
'-y,-x,-z'
'y,x,z'
'-x,y+1/2,-z'
'x,-y+1/2,z'
'y+1/2,x+1/2,-z'
'-y+1/2,-x+1/2,z'
loop_
_atom_site_label
_atom_site_type_symbol
_atom_site_fract_x
_atom_site_fract_y
_atom_site_fract_z
Nb1 Nb 0.250 0.250 0.184
Ni1 Ni 0.250 0.750 0.500
Pt1 Pt 0.250 0.250 0.777
```